Computed, not measured: a geometry-optimized Hf2UCd structure at the PBE level of DFT.

Structure (POSCAR):
```
Hf2UCd
1.0
-0.059 4.987 -0.249
-2.223 2.282 -3.846
-4.275 2.485 0.703
Hf U Cd
2 1 1
Direct
0.250 0.250 0.250
0.750 0.750 0.750
0.000 0.000 0.000
0.500 0.500 0.500
```

Space group: No. 225
Mass density in Mg/m³: 13.34
E in eV per atom: -7.629
Formation enthalpy at 0 K in eV/atom: 0.399